Density functional theory data (PBE with a Hubbard U) for crystalline CsSmMo2O8 at its relaxed geometry.

Calculated values
Crystal system: monoclinic
E_tot: -169.94 eV for the cell shown

abc: 7.6833 7.6833 7.9251
angles: 62.11 62.11 88.63
Sites, in units of the cell vectors:
1 O 0.0603 0.2155 0.7938
2 O 0.2155 0.0603 0.2938
3 O 0.0728 0.3818 0.3711
4 O 0.5841 0.3709 0.9678
5 O 0.9397 0.7845 0.2062
6 O 0.7560 0.6120 0.0738
7 O 0.7845 0.9397 0.7062
8 O 0.6120 0.7560 0.5738
9 O 0.3880 0.2440 0.4262
10 O 0.6182 0.9272 0.1289
11 O 0.9272 0.6182 0.6289
12 O 0.6291 0.4159 0.5322
13 O 0.3818 0.0728 0.8711
14 O 0.4159 0.6291 0.0322
15 O 0.2440 0.3880 0.9262
16 O 0.3709 0.5841 0.4678
17 Cs 0.8076 0.1924 0.2500
18 Cs 0.1924 0.8076 0.7500
19 Mo 0.3086 0.3103 0.2316
20 Mo 0.6898 0.6914 0.2684
21 Mo 0.6914 0.6898 0.7684
22 Mo 0.3103 0.3086 0.7316
23 Sm 0.2284 0.7716 0.2500
24 Sm 0.7716 0.2284 0.7500